Entry 1:
Ca2NiTeC PBE optimized geometry; crystal system = tetragonal; size of the total moment = 0.00 μB per cell; formation energy without anion corrections = -520 meV per atom; total DFT energy (no corrections) = -24.7 eV per formula unit
1.0
5.288 0.000 0.000
0.000 5.288 0.000
0.000 0.000 3.700
Ca Ni Te C
2 1 1 1
Direct
0.000 0.500 0.000 Ca
0.500 0.000 0.000 Ca
0.000 0.000 0.500 Ni
0.500 0.500 0.500 Te
0.000 0.000 0.000 C

Entry 2:
Ni2WBr PBE optimized geometry; offset from the most stable computed form = 0.574 eV/atom; crystal system = tetragonal; size of the total moment = 0.22 μB per cell; formation energy without anion corrections = 928 meV per atom; total DFT energy (no corrections) = -22.5 eV per formula unit
1.0
4.650 0.000 0.000
0.000 4.650 0.000
0.000 0.000 2.743
Ni W Br
2 1 1
Direct
0.000 0.500 0.000 Ni
0.500 0.000 0.000 Ni
0.000 0.000 0.500 W
0.500 0.500 0.500 Br

The highest formation energy without anion corrections belongs to which entry? Ni2WBr

size of the total moment of number 2 (Ni2WBr)? 0.22 μB per cell

The lowest size of the total moment belongs to which entry? Ca2NiTeC

Look up the total DFT energy (no corrections) of the second one. -22.5 eV per formula unit